## Ac7Pd4Pt (PBE-GGA)

Data for an optimized crystal structure of Ac7Pd4Pt.

POSCAR file:
```
Ac7Pd4Pt
1.0
7.251 -2.164 0.000
7.251 2.164 0.000
-3.311 0.000 12.898
Ac Pd Pt
7 4 1
direct
0.000 0.000 0.000 Ac
0.221 0.221 0.856 Ac
0.298 0.298 0.423 Ac
0.523 0.523 0.279 Ac
0.605 0.605 0.589 Ac
0.759 0.759 0.141 Ac
0.913 0.913 0.692 Ac
0.259 0.259 0.640 Pd
0.377 0.377 0.065 Pd
0.562 0.562 0.818 Pd
0.957 0.957 0.462 Pd
0.143 0.143 0.213 Pt
```

symmetry = Cm (8)
final energy = -5.36 eV per atom
total moment = 0.00 μB/f.u.
formation energy = -8.709 eV/f.u.

=====

## Rb3Na12F5 (PBE-GGA)

Data for an optimized crystal structure of Rb3Na12F5.

POSCAR file:
```
Rb3Na12F5
1.0
-8.723 8.723 8.723
8.723 -8.723 8.723
8.723 8.723 -8.723
Rb Na F
12 48 20
direct
0.125 0.250 0.375 Rb
0.125 0.375 0.750 Rb
0.250 0.375 0.125 Rb
0.250 0.875 0.625 Rb
0.375 0.125 0.250 Rb
0.375 0.750 0.125 Rb
0.625 0.250 0.875 Rb
0.625 0.875 0.750 Rb
0.750 0.125 0.375 Rb
0.750 0.625 0.875 Rb
0.875 0.625 0.250 Rb
0.875 0.750 0.625 Rb
0.036 0.702 0.112 Na
0.036 0.834 0.924 Na
0.076 0.612 0.910 Na
0.076 0.964 0.166 Na
0.090 0.666 0.702 Na
0.090 0.924 0.388 Na
0.112 0.036 0.702 Na
0.112 0.576 0.410 Na
0.166 0.076 0.964 Na
0.166 0.590 0.202 Na
0.202 0.166 0.590 Na
0.202 0.536 0.612 Na
0.298 0.888 0.964 Na
0.298 0.910 0.334 Na
0.334 0.298 0.910 Na
0.334 0.536 0.424 Na
0.388 0.090 0.924 Na
0.388 0.798 0.464 Na
0.410 0.112 0.576 Na
0.410 0.798 0.834 Na
0.424 0.334 0.536 Na
0.424 0.590 0.888 Na
0.464 0.388 0.798 Na
0.464 0.576 0.666 Na
0.536 0.424 0.334 Na
0.536 0.612 0.202 Na
0.576 0.410 0.112 Na
0.576 0.666 0.464 Na
0.590 0.202 0.166 Na
0.590 0.888 0.424 Na
0.612 0.202 0.536 Na
0.612 0.910 0.076 Na
0.666 0.464 0.576 Na
0.666 0.702 0.090 Na
0.702 0.090 0.666 Na
0.702 0.112 0.036 Na
0.798 0.464 0.388 Na
0.798 0.834 0.410 Na
0.834 0.410 0.798 Na
0.834 0.924 0.036 Na
0.888 0.424 0.590 Na
0.888 0.964 0.298 Na
0.910 0.076 0.612 Na
0.910 0.334 0.298 Na
0.924 0.036 0.834 Na
0.924 0.388 0.090 Na
0.964 0.166 0.076 Na
0.964 0.298 0.888 Na
0.000 0.000 0.000 F
0.000 0.000 0.500 F
0.000 0.500 0.000 F
0.000 0.500 0.500 F
0.125 0.750 0.875 F
0.125 0.875 0.250 F
0.250 0.125 0.875 F
0.250 0.625 0.375 F
0.375 0.250 0.625 F
0.375 0.625 0.750 F
0.500 0.000 0.000 F
0.500 0.000 0.500 F
0.500 0.500 0.000 F
0.500 0.500 0.500 F
0.625 0.375 0.250 F
0.625 0.750 0.375 F
0.750 0.375 0.625 F
0.750 0.875 0.125 F
0.875 0.125 0.750 F
0.875 0.250 0.125 F
```

raw formation energy = -1.090 eV per atom
symmetry = Ia-3d (230)
final energy = -2.49 eV per atom
total moment = 0.00 μB/f.u.

=====

## SrCr2Cu (PBE-GGA)

Data for an optimized crystal structure of SrCr2Cu.

POSCAR file:
```
SrCr2Cu
1.0
0.000 3.436 3.436
3.436 0.000 3.436
3.436 3.436 0.000
Sr Cr Cu
1 2 1
direct
0.000 0.000 0.000 Sr
0.250 0.250 0.250 Cr
0.750 0.750 0.750 Cr
0.500 0.500 0.500 Cu
```

symmetry = Fm-3m (225)
final energy = -5.33 eV per atom
relative energy among the computed polymorphs = 506.7 meV per atom
total moment = 8.43 μB/f.u.
formation energy = 3.715 eV/f.u.

=====

## SnGeAs2Br (PBE-GGA)

Data for an optimized crystal structure of SnGeAs2Br.

POSCAR file:
```
SnGeAs2Br
1.0
5.299 0.000 0.000
0.000 5.299 0.000
0.000 0.000 5.396
Sn Ge As Br
1 1 2 1
direct
0.000 0.000 0.000 Sn
0.500 0.500 0.500 Ge
0.000 0.500 0.000 As
0.500 0.000 0.000 As
0.000 0.000 0.500 Br
```

raw formation energy = 0.731 eV per atom
symmetry = P4/mmm (123)
final energy = -3.19 eV per atom
relative energy among the computed polymorphs = 313.8 meV per atom
total moment = 0.00 μB/f.u.

=====

## LaPmRh2 (PBE-GGA)

Data for an optimized crystal structure of LaPmRh2.

POSCAR file:
```
LaPmRh2
1.0
5.007 0.000 0.000
0.000 5.007 0.000
0.000 0.000 3.586
La Pm Rh
1 1 2
direct
0.000 0.000 0.000 La
0.500 0.500 0.000 Pm
0.000 0.500 0.500 Rh
0.500 0.000 0.500 Rh
```

symmetry = P4/mmm (123)
final energy = -6.76 eV per atom
relative energy among the computed polymorphs = 66.3 meV per atom
total moment = 0.00 μB/f.u.
formation energy = -2.654 eV/f.u.

=====

## CsAgBi (PBE-GGA)

Data for an optimized crystal structure of CsAgBi.

POSCAR file:
```
CsAgBi
1.0
7.170 0.000 0.000
0.000 4.718 0.000
0.000 0.000 13.486
Cs Ag Bi
4 4 4
direct
0.244 0.250 0.030 Cs
0.256 0.750 0.530 Cs
0.744 0.250 0.470 Cs
0.756 0.750 0.970 Cs
0.245 0.750 0.793 Ag
0.255 0.250 0.293 Ag
0.745 0.750 0.707 Ag
0.755 0.250 0.207 Ag
0.001 0.250 0.741 Bi
0.499 0.750 0.241 Bi
0.501 0.250 0.759 Bi
0.999 0.750 0.259 Bi
```

symmetry = Pnma (62)
final energy = -2.65 eV per atom
relative energy among the computed polymorphs = 29.7 meV per atom
total moment = 0.00 μB/f.u.
formation energy = -0.376 eV/f.u.